[1]
Tl2SnPN after structural relaxation, computed with GGA-PBE.

Output
Raw formation energy ... 1.44 eV/atom

CIF file:
```
data_Tl2SnPN
_cell_length_a 5.1825
_cell_length_b 5.1825
_cell_length_c 5.2926
_cell_angle_alpha 90.00
_cell_angle_beta 90.00
_cell_angle_gamma 90.00
_space_group_name_H-M_alt 'P 4/m m m'
_space_group_IT_number 123
_space_group_name_Hall '-P 4 2'
loop_
_atom_site_label
_atom_site_type_symbol
_atom_site_fract_x
_atom_site_fract_y
_atom_site_fract_z
Tl1 Tl 0.0000 0.5000 0.0000
Sn1 Sn 0.0000 0.0000 0.5000
P1 P 0.0000 0.0000 0.0000
N1 N 0.5000 0.5000 0.5000
```

[2]
Pu2PaSn9 after structural relaxation, computed with GGA-PBE.

Output
Energy relative to the elements ... -0.34 eV/atom

CIF file:
```
data_Pu2PaSn9
_cell_length_a 4.6637
_cell_length_b 4.6637
_cell_length_c 13.9441
_cell_angle_alpha 90.00
_cell_angle_beta 90.00
_cell_angle_gamma 90.00
_space_group_name_H-M_alt 'P 4/m m m'
_space_group_IT_number 123
_space_group_name_Hall '-P 4 2'
loop_
_atom_site_label
_atom_site_type_symbol
_atom_site_fract_x
_atom_site_fract_y
_atom_site_fract_z
Pu1 Pu 0.0000 0.0000 0.1696
Pa1 Pa 0.0000 0.0000 0.5000
Sn1 Sn 0.0000 0.5000 0.0000
Sn2 Sn 0.0000 0.5000 0.3337
Sn3 Sn 0.5000 0.5000 0.1662
Sn4 Sn 0.5000 0.5000 0.5000
```

[3]
PrNp3Se6 after structural relaxation, computed with GGA-PBE.

Output
Raw formation energy ... -1.32 eV/atom

CIF file:
```
data_PrNp3Se6
_cell_length_a 11.5236
_cell_length_b 4.1605
_cell_length_c 12.0148
_cell_angle_alpha 90.00
_cell_angle_beta 108.48
_cell_angle_gamma 90.00
_space_group_name_H-M_alt 'P 1 21/m 1'
_space_group_IT_number 11
loop_
_space_group_symop_operation_xyz
'x,y,z'
'-x,-y,-z'
'-x,y+1/2,-z'
'x,-y+1/2,z'
loop_
_atom_site_label
_atom_site_type_symbol
_atom_site_fract_x
_atom_site_fract_y
_atom_site_fract_z
Pr1 Pr 0.0489 0.2500 0.1963
Np1 Np 0.1570 0.2500 0.5830
Np2 Np 0.3181 0.7500 0.0011
Np3 Np 0.4402 0.2500 0.3331
Se1 Se 0.0864 0.7500 0.4048
Se2 Se 0.1194 0.2500 0.9647
Se3 Se 0.1973 0.7500 0.7495
Se4 Se 0.2641 0.7500 0.2280
Se5 Se 0.3928 0.2500 0.5548
Se6 Se 0.4866 0.2500 0.1157
```

[4]
Dy2AlPt3 after structural relaxation, computed with GGA-PBE.

Output
Energy relative to the elements ... -1.18 eV/atom

CIF file:
```
data_Dy2AlPt3
_cell_length_a 5.5721
_cell_length_b 5.5721
_cell_length_c 12.5265
_cell_angle_alpha 90.00
_cell_angle_beta 90.00
_cell_angle_gamma 120.00
_space_group_name_H-M_alt 'R -3 m'
_space_group_IT_number 166
_space_group_name_Hall '-R 3 2"'
loop_
_atom_site_label
_atom_site_type_symbol
_atom_site_fract_x
_atom_site_fract_y
_atom_site_fract_z
Dy1 Dy 0.0000 0.0000 0.1262
Al1 Al 0.0000 0.0000 0.5000
Pt1 Pt 0.0000 0.5000 0.0000
```

[5]
RbTcAu3 after structural relaxation, computed with GGA-PBE.

Output
Energy relative to the lowest polymorph listed for this composition ... 0 meV/atom
Energy relative to the elements ... 0.51 eV/atom

CIF file:
```
data_RbTcAu3
_cell_length_a 5.2237
_cell_length_b 5.2237
_cell_length_c 5.2237
_cell_angle_alpha 90.00
_cell_angle_beta 90.00
_cell_angle_gamma 90.00
_space_group_name_H-M_alt 'P m -3 m'
_space_group_IT_number 221
_space_group_name_Hall '-P 4 2 3'
loop_
_atom_site_label
_atom_site_type_symbol
_atom_site_fract_x
_atom_site_fract_y
_atom_site_fract_z
Rb1 Rb 0.0000 0.0000 0.0000
Tc1 Tc 0.5000 0.5000 0.5000
Au1 Au 0.0000 0.5000 0.5000
```

[6]
SmTm2Pb after structural relaxation, computed with GGA-PBE.

Output
Energy relative to the lowest polymorph listed for this composition ... 39 meV/atom
Energy relative to the elements ... -0.27 eV/atom

CIF file:
```
data_SmTm2Pb
_cell_length_a 4.8639
_cell_length_b 4.8639
_cell_length_c 4.8273
_cell_angle_alpha 90.00
_cell_angle_beta 90.00
_cell_angle_gamma 90.00
_space_group_name_H-M_alt 'P 4/m m m'
_space_group_IT_number 123
_space_group_name_Hall '-P 4 2'
loop_
_atom_site_label
_atom_site_type_symbol
_atom_site_fract_x
_atom_site_fract_y
_atom_site_fract_z
Sm1 Sm 0.0000 0.0000 0.0000
Tm1 Tm 0.0000 0.5000 0.5000
Pb1 Pb 0.5000 0.5000 0.0000
```

[7]
Pr8PIr3Br3 after structural relaxation, computed with GGA-PBE.

Output
Raw formation energy ... -1.00 eV/atom

CIF file:
```
data_Pr8PIr3Br3
_cell_length_a 8.4896
_cell_length_b 8.4896
_cell_length_c 22.4285
_cell_angle_alpha 90.00
_cell_angle_beta 90.00
_cell_angle_gamma 120.00
_space_group_name_H-M_alt 'R -3 m'
_space_group_IT_number 166
_space_group_name_Hall '-R 3 2"'
loop_
_atom_site_label
_atom_site_type_symbol
_atom_site_fract_x
_atom_site_fract_y
_atom_site_fract_z
Pr1 Pr 0.0000 0.0000 0.2341
Pr2 Pr 0.0102 0.5051 0.7653
P1 P 0.0000 0.0000 0.5000
Ir1 Ir 0.0000 0.5000 0.5000
Br1 Br 0.0000 0.5000 0.0000
```

[8]
In2CoTe2 after structural relaxation, computed with GGA-PBE.

Output
Raw formation energy ... 0.51 eV/atom
Energy relative to the lowest polymorph listed for this composition ... 388 meV/atom

CIF file:
```
data_In2CoTe2
_cell_length_a 3.9959
_cell_length_b 3.9959
_cell_length_c 17.1326
_cell_angle_alpha 90.00
_cell_angle_beta 90.00
_cell_angle_gamma 90.00
_space_group_name_H-M_alt 'I 4/m m m'
_space_group_IT_number 139
_space_group_name_Hall '-I 4 2'
loop_
_atom_site_label
_atom_site_type_symbol
_atom_site_fract_x
_atom_site_fract_y
_atom_site_fract_z
In1 In 0.0000 0.5000 0.2500
Co1 Co 0.0000 0.0000 0.0000
Te1 Te 0.0000 0.0000 0.4142
```

[9]
MoP2 after structural relaxation, computed with GGA-PBE.

Output
Energy relative to the elements ... -0.28 eV/atom

CIF file:
```
data_MoP2
_cell_length_a 5.5226
_cell_length_b 5.5226
_cell_length_c 5.7635
_cell_angle_alpha 90.00
_cell_angle_beta 90.00
_cell_angle_gamma 90.00
_space_group_name_H-M_alt 'I 4/m c m'
_space_group_IT_number 140
_space_group_name_Hall '-I 4 2c'
loop_
_atom_site_label
_atom_site_type_symbol
_atom_site_fract_x
_atom_site_fract_y
_atom_site_fract_z
Mo1 Mo 0.0000 0.0000 0.2500
P1 P 0.1428 0.3572 0.0000
```

[10]
Tb3Re5N12 after structural relaxation, computed with GGA-PBE.

Output
Raw formation energy ... -0.52 eV/atom

CIF file:
```
data_Tb3Re5N12
_cell_length_a 12.7731
_cell_length_b 12.7731
_cell_length_c 12.7731
_cell_angle_alpha 90.00
_cell_angle_beta 90.00
_cell_angle_gamma 90.00
_space_group_name_H-M_alt 'I a -3 d'
_space_group_IT_number 230
_space_group_name_Hall '-I 4bd 2c 3'
loop_
_atom_site_label
_atom_site_type_symbol
_atom_site_fract_x
_atom_site_fract_y
_atom_site_fract_z
Tb1 Tb 0.0000 0.2500 0.1250
Re1 Re 0.0000 0.0000 0.0000
Re2 Re 0.0000 0.2500 0.3750
N1 N 0.0327 0.0483 0.6487
```

[11]
SrLiCo2I after structural relaxation, computed with GGA-PBE.

Output
Raw formation energy ... 1.10 eV/atom

CIF file:
```
data_SrLiCo2I
_cell_length_a 5.5555
_cell_length_b 5.5555
_cell_length_c 6.3560
_cell_angle_alpha 90.00
_cell_angle_beta 90.00
_cell_angle_gamma 90.00
_space_group_name_H-M_alt 'P 4/m m m'
_space_group_IT_number 123
_space_group_name_Hall '-P 4 2'
loop_
_atom_site_label
_atom_site_type_symbol
_atom_site_fract_x
_atom_site_fract_y
_atom_site_fract_z
Sr1 Sr 0.0000 0.0000 0.0000
Li1 Li 0.5000 0.5000 0.5000
Co1 Co 0.0000 0.5000 0.0000
I1 I 0.0000 0.0000 0.5000
```

[12]
Dy5Tl2In2 after structural relaxation, computed with GGA-PBE.

Output
Energy relative to the lowest polymorph listed for this composition ... 25 meV/atom
Energy relative to the elements ... -0.33 eV/atom

CIF file:
```
data_Dy5Tl2In2
_cell_length_a 15.9976
_cell_length_b 8.3111
_cell_length_c 7.8644
_cell_angle_alpha 90.00
_cell_angle_beta 90.00
_cell_angle_gamma 90.00
_space_group_name_H-M_alt 'C m c e'
_space_group_IT_number 64
_space_group_name_Hall '-C 2ac 2'
loop_
_atom_site_label
_atom_site_type_symbol
_atom_site_fract_x
_atom_site_fract_y
_atom_site_fract_z
Dy1 Dy 0.0000 0.0000 0.0000
Dy2 Dy 0.1387 0.1831 0.3300
Tl1 Tl 0.0000 0.1296 0.6291
In1 In 0.2105 0.0000 0.0000
```